## CrIr3O (PBE+U)

Data for CrIr3O after structural relaxation.

a = 4.5123 Å, b = 4.5123 Å, c = 4.5123 Å
α = 90.00°, β = 90.00°, γ = 90.00°
With the nearest neighbours (Å) after each atom.
Space group Pm-3m (No. 221)
Unique sites:
Cr  0.0000  0.0000  0.0000 (multiplicity 1)  6 Ir 2.26
Ir  0.0000  0.0000  0.5000 (multiplicity 3)  2 Cr 2.26
O  0.5000  0.5000  0.5000 (multiplicity 1)  12 Ir 3.19

Calculated values
ΔE to the lowest computed polymorph: 157.63 kJ per mole of atoms
Crystal system: cubic
N(E_F): 1.1904 states/eV per atom
VASP energy: -27.06 eV for the cell shown